The following is a DFT calculation (PBE) of an optimized crystal structure of MgZrTl2.

```
MgZrTl2
1.0
-3.265 -2.359 -3.852
-3.658 -3.436 2.424
1.388 5.305 0.997
Mg Tl Zr
1 2 1
direct
0.750 0.250 0.500
0.000 0.000 0.000
0.500 0.500 0.000
0.250 0.750 0.500
```

Values from the calculation:
D(E_F) in states/eV/f.u.: 3.293
Total magnetization in μB per formula unit: 0.00
Electronic total energy in eV per cell: -14.59
Calculated formation energy in meV/atom: 71